Computed, not measured: an optimized crystal structure of PmPrZr2 at the PBE-GGA level of DFT.

Properties
- Formation energy: 0.2079 eV per atom
- Symmetry: No. 123

POSCAR file:
```
PmPrZr2
1.0
4.7513 0.0000 0.0000
0.0000 4.7513 0.0000
0.0000 0.0000 4.9790
Pm Pr Zr
1 1 2
Direct
0.0000 0.0000 0.0000
0.5000 0.5000 0.0000
0.0000 0.5000 0.5000
0.5000 0.0000 0.5000
```

---

Computed, not measured: an optimized crystal structure of SnAs2PdSe at the PBE-GGA level of DFT.

Properties
- Raw formation energy: 344 meV/atom
- Polymorph energy (0 for the lowest one): 0.000 eV/atom
- Symmetry: No. 123

POSCAR file:
```
SnAs2PdSe
1.0
4.8343 0.0000 0.0000
0.0000 4.8343 0.0000
0.0000 0.0000 5.2697
Sn As Pd Se
1 2 1 1
Direct
0.0000 0.0000 0.0000
0.0000 0.5000 0.5000
0.5000 0.0000 0.5000
0.5000 0.5000 0.5000
0.5000 0.5000 0.0000
```

---

Computed, not measured: an optimized crystal structure of La2SbPd2 at the PBE-GGA level of DFT.

Properties
- Raw formation energy: -669 meV/atom
- Polymorph energy (0 for the lowest one): 0.320 eV/atom
- Symmetry: No. 127

POSCAR file:
```
La2SbPd2
1.0
8.5766 0.0000 0.0000
0.0000 8.5766 0.0000
0.0000 0.0000 3.6744
La Sb Pd
4 2 4
Direct
0.1677 0.3323 0.0000
0.3323 0.8323 0.0000
0.6677 0.1677 0.0000
0.8323 0.6677 0.0000
0.0000 0.0000 0.0000
0.5000 0.5000 0.0000
0.1198 0.6198 0.5000
0.3802 0.1198 0.5000
0.6198 0.8802 0.5000
0.8802 0.3802 0.5000
```

---

Computed, not measured: an optimized crystal structure of NdHoIn2Se4 at the PBE-GGA level of DFT.

Properties
- Raw formation energy: -1290 meV/atom
- Symmetry: No. 10

POSCAR file:
```
NdHoIn2Se4
1.0
7.2972 0.0000 0.0000
0.0000 4.2095 0.0000
-2.4258 0.0000 7.7315
Nd Ho In Se
1 1 2 4
Direct
0.0000 0.0000 0.0000
0.5000 0.5000 0.0000
0.0000 0.5000 0.5000
0.5000 0.0000 0.5000
0.2465 0.5000 0.2137
0.2722 0.0000 0.7908
0.7278 0.0000 0.2092
0.7535 0.5000 0.7863
```

---

Computed, not measured: an optimized crystal structure of LiNd2Y at the PBE-GGA level of DFT.

Properties
- Polymorph energy (0 for the lowest one): 0.007 eV/atom
- Formation energy: 0.0719 eV per atom
- Symmetry: No. 160

POSCAR file:
```
LiNd2Y
1.0
3.5828 0.0000 0.0000
-1.7914 3.1028 0.0000
0.0000 0.0000 34.4221
Li Nd Y
3 6 3
Direct
0.0000 0.0000 0.0000
0.3333 0.6667 0.6667
0.6667 0.3333 0.3333
0.0000 0.0000 0.2514
0.0000 0.0000 0.4151
0.3333 0.6667 0.0818
0.3333 0.6667 0.9181
0.6667 0.3333 0.5848
0.6667 0.3333 0.7484
0.0000 0.0000 0.8332
0.3333 0.6667 0.4998
0.6667 0.3333 0.1665
```

---

Computed, not measured: an optimized crystal structure of MnTe2Mo at the PBE-GGA level of DFT.

Properties
- Raw formation energy: 172 meV/atom
- Polymorph energy (0 for the lowest one): 0.220 eV/atom
- Symmetry: No. 44

POSCAR file:
```
MnTe2Mo
1.0
3.5594 0.0000 0.0000
0.0000 3.9911 0.0000
0.0000 0.0000 13.9679
Mn Te Mo
2 4 2
Direct
0.0000 0.0000 0.0000
0.5000 0.5000 0.5000
0.0000 0.0000 0.4526
0.0000 0.5000 0.6950
0.5000 0.0000 0.1950
0.5000 0.5000 0.9526
0.0000 0.5000 0.1129
0.5000 0.0000 0.6129
```

---

Computed, not measured: an optimized crystal structure of Pm4HoIn3 at the PBE-GGA level of DFT.

Properties
- Formation energy: -0.3287 eV per atom
- Symmetry: No. 166

POSCAR file:
```
Pm4HoIn3
1.0
2.7359 1.5796 9.1306
-2.7359 1.5796 9.1306
0.0000 -3.1591 9.1306
Pm Ho In
4 1 3
Direct
0.1176 0.1176 0.1176
0.3695 0.3695 0.3695
0.6305 0.6305 0.6305
0.8824 0.8824 0.8824
0.5000 0.5000 0.5000
0.0000 0.0000 0.0000
0.2405 0.2405 0.2405
0.7595 0.7595 0.7595
```

---

Computed, not measured: an optimized crystal structure of LiB3Pt at the PBE-GGA level of DFT.

Properties
- Polymorph energy (0 for the lowest one): 0.840 eV/atom
- Formation energy: 1.8564 eV per atom
- Symmetry: No. 221

POSCAR file:
```
LiB3Pt
1.0
3.6664 0.0000 0.0000
0.0000 3.6664 0.0000
0.0000 0.0000 3.6664
Li B Pt
1 3 1
Direct
0.0000 0.0000 0.0000
0.0000 0.0000 0.5000
0.0000 0.5000 0.0000
0.5000 0.0000 0.0000
0.5000 0.5000 0.5000
```

---

Computed, not measured: an optimized crystal structure of Mn2ZnBr at the PBE-GGA level of DFT.

Properties
- Raw formation energy: 441 meV/atom
- Polymorph energy (0 for the lowest one): 0.244 eV/atom
- Symmetry: No. 71

POSCAR file:
```
Mn2ZnBr
1.0
3.1599 0.0000 0.0000
0.0000 5.3186 0.0000
0.0000 0.0000 8.6855
Mn Zn Br
4 2 2
Direct
0.0000 0.0000 0.2485
0.0000 0.0000 0.7515
0.5000 0.5000 0.2515
0.5000 0.5000 0.7485
0.0000 0.5000 0.5000
0.5000 0.0000 0.0000
0.0000 0.5000 0.0000
0.5000 0.0000 0.5000
```

---

Computed, not measured: an optimized crystal structure of Hg2TeBr at the PBE-GGA level of DFT.

Properties
- Raw formation energy: 20 meV/atom
- Polymorph energy (0 for the lowest one): 0.276 eV/atom
- Symmetry: No. 10

POSCAR file:
```
Hg2TeBr
1.0
3.3713 0.0000 0.0000
0.0000 6.4554 0.0000
-1.1015 0.0000 5.5710
Hg Te Br
2 1 1
Direct
0.0978 0.0000 0.2592
0.9022 0.0000 0.7408
0.5000 0.5000 0.5000
0.5000 0.5000 0.0000
```

---

Computed, not measured: an optimized crystal structure of NdErTlRh at the PBE-GGA level of DFT.

Properties
- Polymorph energy (0 for the lowest one): 0.000 eV/atom
- Formation energy: -0.5741 eV per atom
- Symmetry: No. 99

POSCAR file:
```
NdErTlRh
1.0
3.5218 0.0000 0.0000
0.0000 3.5218 0.0000
0.0000 0.0000 7.9469
Nd Er Tl Rh
1 1 1 1
Direct
0.0000 0.0000 0.0000
0.0000 0.0000 0.5765
0.5000 0.5000 0.3010
0.5000 0.5000 0.7659
```

---

Computed, not measured: an optimized crystal structure of BeSe2SBr at the PBE-GGA level of DFT.

Properties
- Raw formation energy: 509 meV/atom
- Polymorph energy (0 for the lowest one): 0.000 eV/atom
- Symmetry: No. 123

POSCAR file:
```
BeSe2SBr
1.0
4.7309 0.0000 0.0000
0.0000 4.7309 0.0000
0.0000 0.0000 4.4398
Be Se S Br
1 2 1 1
Direct
0.0000 0.0000 0.0000
0.0000 0.5000 0.0000
0.5000 0.0000 0.0000
0.5000 0.5000 0.5000
0.0000 0.0000 0.5000
```

---

Computed, not measured: an optimized crystal structure of EuPuHg2 at the PBE-GGA level of DFT.

Properties
- Polymorph energy (0 for the lowest one): 0.035 eV/atom
- Formation energy: -0.2861 eV per atom
- Symmetry: No. 225

POSCAR file:
```
EuPuHg2
1.0
7.6720 0.0000 0.0000
0.0000 7.6720 0.0000
0.0000 0.0000 7.6720
Eu Pu Hg
4 4 8
Direct
0.0000 0.0000 0.0000
0.0000 0.5000 0.5000
0.5000 0.0000 0.5000
0.5000 0.5000 0.0000
0.0000 0.0000 0.5000
0.0000 0.5000 0.0000
0.5000 0.0000 0.0000
0.5000 0.5000 0.5000
0.2500 0.2500 0.2500
0.2500 0.2500 0.7500
0.2500 0.7500 0.2500
0.2500 0.7500 0.7500
0.7500 0.2500 0.2500
0.7500 0.2500 0.7500
0.7500 0.7500 0.2500
0.7500 0.7500 0.7500
```